Record 1
A plane-wave DFT calculation with PBE was carried out for crystalline Li2Cl at its relaxed geometry.

Density of states at the Fermi level in states/eV per atom: 0.400
Distance to the lowest polymorph of the same formula in eV per atom: 0.127
Uncorrected energy in hartree per atom: -0.1040
Energy relative to the elements, uncorrected in eV/atom: -0.9388

Cell: 5.9441 6.2175 3.4504 Å, 90.00 90.00 90.00°
With the nearest neighbours (Å) after each atom.
Space group Pnnm (No. 58)
One atom of each set of equivalent atoms:
Li: 0.2400 0.1599 0.0000  3 Cl 2.52-2.55
Cl: 0.0000 0.5000 0.0000  6 Li 2.52-2.55

=====

Record 2
A plane-wave DFT calculation with PBE was carried out for crystalline TbDyC at its relaxed geometry.

Energy of formation in eV/atom: -0.2693
Density of states at the Fermi level in states/eV per atom: 0.761
Distance to the lowest polymorph of the same formula in eV per atom: 0.000
Uncorrected energy in hartree per atom: -0.2360

Cell: 6.2318 3.6018 6.5257 Å, 90.00 108.44 90.00°
With the nearest neighbours (Å) after each atom.
Space group P2_1/m (No. 11)
One atom of each set of equivalent atoms:
Tb: 0.0107 0.2500 0.2807  3 C 2.49
Dy: 0.4888 0.2500 0.7177  3 C 2.47
C: 0.2512 0.7500 0.5004  3 Dy 2.47, 3 Tb 2.49

=====

Record 3
A plane-wave DFT calculation with PBE was carried out for crystalline YSc2SnN at its relaxed geometry.

Density of states at the Fermi level in states/eV per atom: 0.632
Uncorrected energy in hartree per atom: -0.2724
Energy relative to the elements, uncorrected in eV/atom: -1.1204

Cell: 4.4998 4.4998 4.7778 Å, 90.00 90.00 90.00°
With the nearest neighbours (Å) after each atom.
Space group P4/mmm (No. 123)
One atom of each set of equivalent atoms:
Y: 0.0000 0.0000 0.0000  2 N 2.39
Sc: 0.0000 0.5000 0.5000  2 N 2.25
Sn: 0.5000 0.5000 0.0000  4 Y 3.18, 8 Sc 3.28
N: 0.0000 0.0000 0.5000  4 Sc 2.25, 2 Y 2.39

=====

Record 4
A plane-wave DFT calculation with PBE was carried out for crystalline K2HoPCO7 at its relaxed geometry.

Density of states at the Fermi level in states/eV per atom: 0.000
Uncorrected energy in hartree per atom: -0.2597
Energy relative to the elements, uncorrected in eV/atom: -2.3916

Cell: 5.7848 7.1120 10.0773 Å, 90.00 90.04 90.00°
With the nearest neighbours (Å) after each atom.
Space group P2_1/m (No. 11)
One atom of each set of equivalent atoms:
K: 0.2450 0.0150 0.2847  4 O 2.60-2.87
Ho: 0.2921 0.2500 0.8762  6 O 2.23-2.35
P: 0.2166 0.7500 0.9347  4 O 1.55-1.57
C: 0.2410 0.2500 0.6051  3 O 1.26-1.33
O: 0.0531 0.2500 0.0502  1 P 1.57
O: 0.0669 0.2500 0.6913  1 C 1.33
O: 0.2086 0.2500 0.4816  1 C 1.26
O: 0.2934 0.5697 0.8600  1 P 1.55
O: 0.3304 0.7500 0.0758  1 P 1.57
O: 0.4466 0.2500 0.6610  1 C 1.32

=====

Record 5
A plane-wave DFT calculation with PBE was carried out for crystalline Cd3Os5 at its relaxed geometry.

Energy of formation in eV/atom: 0.6833
Density of states at the Fermi level in states/eV per atom: 0.781
Distance to the lowest polymorph of the same formula in eV per atom: 0.000
Uncorrected energy in hartree per atom: -0.2454

Cell: 4.7217 8.1449 8.3307 Å, 79.74 74.78 75.12°
With the nearest neighbours (Å) after each atom.
Space group P-1 (No. 2)
One atom of each set of equivalent atoms:
Cd: 0.1790 0.0898 0.0725  6 Os 2.90-3.25, 2 Cd 3.04-3.07
Cd: 0.2021 0.0866 0.5215  2 Cd 2.77, 8 Os 2.83-3.06
Cd: 0.3015 0.4717 0.9158  2 Cd 2.78, 7 Os 2.83-3.09
Os: 0.0595 0.7088 0.2067  3 Os 2.44-2.68
Os: 0.2170 0.3676 0.2653  5 Os 2.58-2.68, 3 Cd 2.83-2.86
Os: 0.2476 0.4559 0.5482  8 Os 2.55-2.63
Os: 0.2843 0.7324 0.6369  5 Os 2.55-2.72, 2 Cd 2.83-2.86
Os: 0.4406 0.7985 0.2980  3 Os 2.44-2.72

=====

Record 6
A plane-wave DFT calculation with PBE was carried out for crystalline K2MnPt at its relaxed geometry.

Energy of formation in eV/atom: 0.6732
Density of states at the Fermi level in states/eV per atom: 0.763
Distance to the lowest polymorph of the same formula in eV per atom: 0.554
Uncorrected energy in hartree per atom: -0.1352

Cell: 3.0833 3.0833 11.0513 Å, 90.00 90.00 90.00°
With the nearest neighbours (Å) after each atom.
Space group P4/mmm (No. 123)
One atom of each set of equivalent atoms:
K: 0.0000 0.0000 0.2138  4 K 3.08, 4 Pt 3.21
Mn: 0.5000 0.5000 0.5000  4 Mn 3.08
Pt: 0.5000 0.5000 0.0000  4 Pt 3.08, 8 K 3.21